[1]
# AcDy2Si6 | Alexandria via LeMat-Bulk | GGA-PBE | relaxed
# Crystal system: hexagonal
# Fermi-level density of states (states/eV per cell): 3.68
# SG: P6/mmm, No. 191
# Raw formation energy (eV per atom): -0.4996
# M_tot (μB/cell): 0.000
# Total DFT energy (no corrections) (eV per atom): -5.5941
# Density (Mg/m³): 6.4
data_AcDy2Si6
_cell_length_a 7.221
_cell_length_b 7.221
_cell_length_c 4.108
_cell_angle_alpha 90.00
_cell_angle_beta 90.00
_cell_angle_gamma 120.00
_symmetry_space_group_name_H-M 'P 1'
_symmetry_Int_Tables_number 1
_symmetry_space_group_name_Hall 'P 1'
loop_
_atom_site_label
_atom_site_fract_x
_atom_site_fract_y
_atom_site_fract_z
Ac1 0.000 0.000 0.000
Dy1 0.333 0.667 0.000
Dy2 0.667 0.333 0.000
Si1 0.000 0.340 0.500
Si2 0.000 0.660 0.500
Si3 0.340 0.000 0.500
Si4 0.340 0.340 0.500
Si5 0.660 0.000 0.500
Si6 0.660 0.660 0.500

=====

[2]
# Ac3DySi7 | Alexandria via LeMat-Bulk | GGA-PBE | relaxed
# Crystal system: orthorhombic
# Fermi-level density of states (states/eV per cell): 9.48
# SG: Cmcm, No. 63
# Raw formation energy (eV per atom): -0.5733
# M_tot (μB/cell): 0.000
# Total DFT energy (no corrections) (eV per atom): -5.5632
# Density (Mg/m³): 6.7
data_Ac3DySi7
_cell_length_a 10.024
_cell_length_b 10.024
_cell_length_c 11.999
_cell_angle_alpha 90.00
_cell_angle_beta 90.00
_cell_angle_gamma 154.55
_symmetry_space_group_name_H-M 'P 1'
_symmetry_Int_Tables_number 1
_symmetry_space_group_name_Hall 'P 1'
loop_
_atom_site_label
_atom_site_fract_x
_atom_site_fract_y
_atom_site_fract_z
Ac1 0.106 0.894 0.548
Ac2 0.106 0.894 0.952
Ac3 0.247 0.753 0.250
Ac4 0.753 0.247 0.750
Ac5 0.894 0.106 0.048
Ac6 0.894 0.106 0.452
Dy1 0.046 0.954 0.250
Dy2 0.954 0.046 0.750
Si1 0.269 0.731 0.532
Si2 0.269 0.731 0.968
Si3 0.367 0.633 0.651
Si4 0.367 0.633 0.849
Si5 0.429 0.571 0.250
Si6 0.488 0.512 0.597
Si7 0.488 0.512 0.903
Si8 0.512 0.488 0.097
Si9 0.512 0.488 0.403
Si10 0.571 0.429 0.750
Si11 0.633 0.367 0.151
Si12 0.633 0.367 0.349
Si13 0.731 0.269 0.032
Si14 0.731 0.269 0.468

=====

[3]
# AcDy4Si4 | Alexandria via LeMat-Bulk | GGA-PBE | relaxed
# Crystal system: tetragonal
# Fermi-level density of states (states/eV per cell): 14.40
# SG: P4_2/n, No. 86
# Raw formation energy (eV per atom): -0.5010
# M_tot (μB/cell): 0.000
# Total DFT energy (no corrections) (eV per atom): -5.4131
# Density (Mg/m³): 6.5
data_AcDy4Si4
_cell_length_a 9.414
_cell_length_b 9.414
_cell_length_c 5.683
_cell_angle_alpha 90.00
_cell_angle_beta 90.00
_cell_angle_gamma 90.00
_symmetry_space_group_name_H-M 'P 1'
_symmetry_Int_Tables_number 1
_symmetry_space_group_name_Hall 'P 1'
loop_
_atom_site_label
_atom_site_fract_x
_atom_site_fract_y
_atom_site_fract_z
Ac1 0.250 0.250 0.250
Ac2 0.750 0.750 0.750
Dy1 0.111 0.633 0.128
Dy2 0.133 0.889 0.628
Dy3 0.367 0.611 0.628
Dy4 0.389 0.867 0.128
Dy5 0.611 0.133 0.872
Dy6 0.633 0.389 0.372
Dy7 0.867 0.111 0.372
Dy8 0.889 0.367 0.872
Si1 0.061 0.578 0.637
Si2 0.078 0.939 0.137
Si3 0.422 0.561 0.137
Si4 0.439 0.922 0.637
Si5 0.561 0.078 0.363
Si6 0.578 0.439 0.863
Si7 0.922 0.061 0.863
Si8 0.939 0.422 0.363

=====

[4]
# AcDyZnSi | Alexandria via LeMat-Bulk | GGA-PBE | relaxed
# Crystal system: cubic
# Fermi-level density of states (states/eV per cell): 2.31
# SG: F-43m, No. 216
# Raw formation energy (eV per atom): -0.3372
# M_tot (μB/cell): 0.000
# Total DFT energy (no corrections) (eV per atom): -4.1891
# Density (Mg/m³): 7.9
data_AcDyZnSi
_cell_length_a 5.236
_cell_length_b 5.236
_cell_length_c 5.236
_cell_angle_alpha 60.00
_cell_angle_beta 60.00
_cell_angle_gamma 60.00
_symmetry_space_group_name_H-M 'P 1'
_symmetry_Int_Tables_number 1
_symmetry_space_group_name_Hall 'P 1'
loop_
_atom_site_label
_atom_site_fract_x
_atom_site_fract_y
_atom_site_fract_z
Ac1 0.000 0.000 0.000
Dy1 0.500 0.500 0.500
Zn1 0.250 0.250 0.250
Si1 0.750 0.750 0.750

=====

[5]
# Ac2SmDy6 | Alexandria via LeMat-Bulk | GGA-PBE | relaxed
# Crystal system: orthorhombic
# Fermi-level density of states (states/eV per cell): 13.85
# SG: Cmmm, No. 65
# M_tot (μB/cell): 0.000
# Energy relative to the elements (eV/atom): 0.25
# Total DFT energy (no corrections) (eV per atom): -4.2598
# Density (Mg/m³): 8.0
data_Ac2SmDy6
_cell_length_a 7.963
_cell_length_b 7.963
_cell_length_c 5.580
_cell_angle_alpha 90.00
_cell_angle_beta 90.00
_cell_angle_gamma 112.86
_symmetry_space_group_name_H-M 'P 1'
_symmetry_Int_Tables_number 1
_symmetry_space_group_name_Hall 'P 1'
loop_
_atom_site_label
_atom_site_fract_x
_atom_site_fract_y
_atom_site_fract_z
Ac1 0.215 0.785 0.000
Ac2 0.785 0.215 0.000
Sm1 0.000 0.000 0.500
Dy1 0.185 0.450 0.500
Dy2 0.296 0.296 0.000
Dy3 0.450 0.185 0.500
Dy4 0.550 0.815 0.500
Dy5 0.704 0.704 0.000
Dy6 0.815 0.550 0.500

=====

[6]
# AcSm2Dy | Alexandria via LeMat-Bulk | GGA-PBE | relaxed
# Crystal system: tetragonal
# Fermi-level density of states (states/eV per cell): 8.38
# SG: I-4m2, No. 119
# M_tot (μB/cell): 0.000
# Energy relative to the elements (eV/atom): 0.13
# Total DFT energy (no corrections) (eV per atom): -4.4111
# Energy above the lowest structure with this stoichiometry (eV/atom): 0.0849
# Density (Mg/m³): 8.0
data_AcSm2Dy
_cell_length_a 5.789
_cell_length_b 5.789
_cell_length_c 5.789
_cell_angle_alpha 116.54
_cell_angle_beta 116.54
_cell_angle_gamma 96.10
_symmetry_space_group_name_H-M 'P 1'
_symmetry_Int_Tables_number 1
_symmetry_space_group_name_Hall 'P 1'
loop_
_atom_site_label
_atom_site_fract_x
_atom_site_fract_y
_atom_site_fract_z
Ac1 0.000 0.000 0.000
Sm1 0.500 0.500 0.000
Sm2 0.750 0.250 0.500
Dy1 0.250 0.750 0.500

=====

[7]
# Ac8SmDy2 | Alexandria via LeMat-Bulk | GGA-PBE | relaxed
# Crystal system: monoclinic
# Fermi-level density of states (states/eV per cell): 20.04
# SG: C2/m, No. 12
# M_tot (μB/cell): 0.000
# Energy relative to the elements (eV/atom): 0.05
# Total DFT energy (no corrections) (eV per atom): -4.2051
# Density (Mg/m³): 8.4
data_Ac8SmDy2
_cell_length_a 10.198
_cell_length_b 10.198
_cell_length_c 8.679
_cell_angle_alpha 105.07
_cell_angle_beta 105.07
_cell_angle_gamma 31.56
_symmetry_space_group_name_H-M 'P 1'
_symmetry_Int_Tables_number 1
_symmetry_space_group_name_Hall 'P 1'
loop_
_atom_site_label
_atom_site_fract_x
_atom_site_fract_y
_atom_site_fract_z
Ac1 0.047 0.047 0.230
Ac2 0.139 0.139 0.692
Ac3 0.318 0.318 0.584
Ac4 0.405 0.405 0.046
Ac5 0.595 0.595 0.954
Ac6 0.682 0.682 0.416
Ac7 0.861 0.861 0.308
Ac8 0.953 0.953 0.770
Sm1 0.500 0.500 0.500
Dy1 0.227 0.227 0.132
Dy2 0.773 0.773 0.868

=====

[8]
# Ac12Sm5Dy | Alexandria via LeMat-Bulk | GGA-PBE | relaxed
# Crystal system: orthorhombic
# Fermi-level density of states (states/eV per cell): 39.26
# SG: Cmmm, No. 65
# M_tot (μB/cell): 0.000
# Energy relative to the elements (eV/atom): 0.12
# Total DFT energy (no corrections) (eV per atom): -4.1885
# Density (Mg/m³): 8.2
data_Ac12Sm5Dy
_cell_length_a 11.325
_cell_length_b 11.325
_cell_length_c 6.311
_cell_angle_alpha 90.00
_cell_angle_beta 90.00
_cell_angle_gamma 114.02
_symmetry_space_group_name_H-M 'P 1'
_symmetry_Int_Tables_number 1
_symmetry_space_group_name_Hall 'P 1'
loop_
_atom_site_label
_atom_site_fract_x
_atom_site_fract_y
_atom_site_fract_z
Ac1 0.009 0.678 0.500
Ac2 0.155 0.155 0.000
Ac3 0.179 0.507 0.000
Ac4 0.322 0.991 0.500
Ac5 0.344 0.344 0.500
Ac6 0.493 0.821 0.000
Ac7 0.507 0.179 0.000
Ac8 0.656 0.656 0.500
Ac9 0.678 0.009 0.500
Ac10 0.821 0.493 0.000
Ac11 0.845 0.845 0.000
Ac12 0.991 0.322 0.500
Sm1 0.000 0.000 0.500
Sm2 0.170 0.830 0.000
Sm3 0.332 0.668 0.500
Sm4 0.668 0.332 0.500
Sm5 0.830 0.170 0.000
Dy1 0.500 0.500 0.000

=====

[9]
# AcSm2Dy4 | Alexandria via LeMat-Bulk | GGA-PBE | relaxed
# Crystal system: triclinic
# Fermi-level density of states (states/eV per cell): 24.05
# SG: P1, No. 1
# M_tot (μB/cell): 0.000
# Energy relative to the elements (eV/atom): 0.04
# Total DFT energy (no corrections) (eV per atom): -4.5260
# Energy above the lowest structure with this stoichiometry (eV/atom): 0.0000
# Density (Mg/m³): 8.2
data_AcSm2Dy4
_cell_length_a 6.907
_cell_length_b 8.601
_cell_length_c 9.383
_cell_angle_alpha 65.72
_cell_angle_beta 71.68
_cell_angle_gamma 76.94
_symmetry_space_group_name_H-M 'P 1'
_symmetry_Int_Tables_number 1
_symmetry_space_group_name_Hall 'P 1'
loop_
_atom_site_label
_atom_site_fract_x
_atom_site_fract_y
_atom_site_fract_z
Ac1 0.000 0.000 0.000
Ac2 0.471 0.893 0.137
Sm1 0.134 0.557 0.299
Sm2 0.187 0.755 0.563
Sm3 0.338 0.337 0.838
Sm4 0.853 0.425 0.720
Dy1 0.038 0.187 0.275
Dy2 0.287 0.139 0.573
Dy3 0.433 0.709 0.863
Dy4 0.564 0.286 0.156
Dy5 0.617 0.466 0.416
Dy6 0.716 0.852 0.443
Dy7 0.754 0.044 0.693
Dy8 0.907 0.606 0.983

=====

[10]
# AcSm3Dy2 | Alexandria via LeMat-Bulk | GGA-PBE | relaxed
# Crystal system: orthorhombic
# Fermi-level density of states (states/eV per cell): 11.37
# SG: Immm, No. 71
# M_tot (μB/cell): 0.000
# Energy relative to the elements (eV/atom): 0.37
# Total DFT energy (no corrections) (eV per atom): -4.2037
# Energy above the lowest structure with this stoichiometry (eV/atom): 0.1089
# Density (Mg/m³): 7.8
data_AcSm3Dy2
_cell_length_a 10.480
_cell_length_b 10.480
_cell_length_c 10.480
_cell_angle_alpha 160.66
_cell_angle_beta 145.71
_cell_angle_gamma 39.67
_symmetry_space_group_name_H-M 'P 1'
_symmetry_Int_Tables_number 1
_symmetry_space_group_name_Hall 'P 1'
loop_
_atom_site_label
_atom_site_fract_x
_atom_site_fract_y
_atom_site_fract_z
Ac1 0.000 0.000 0.000
Sm1 0.192 0.192 0.000
Sm2 0.500 0.000 0.500
Sm3 0.808 0.808 0.000
Dy1 0.361 0.361 0.000
Dy2 0.639 0.639 0.000

=====

[11]
# AcSmDy4 | Alexandria via LeMat-Bulk | GGA-PBE | relaxed
# Crystal system: cubic
# Fermi-level density of states (states/eV per cell): 15.08
# SG: F-43m, No. 216
# M_tot (μB/cell): 1.815
# Energy relative to the elements (eV/atom): 0.27
# Total DFT energy (no corrections) (eV per atom): -4.2659
# Energy above the lowest structure with this stoichiometry (eV/atom): 0.2138
# Density (Mg/m³): 8.0
data_AcSmDy4
_cell_length_a 6.708
_cell_length_b 6.708
_cell_length_c 6.708
_cell_angle_alpha 60.00
_cell_angle_beta 60.00
_cell_angle_gamma 60.00
_symmetry_space_group_name_H-M 'P 1'
_symmetry_Int_Tables_number 1
_symmetry_space_group_name_Hall 'P 1'
loop_
_atom_site_label
_atom_site_fract_x
_atom_site_fract_y
_atom_site_fract_z
Ac1 0.000 0.000 0.000
Sm1 0.250 0.250 0.250
Dy1 0.128 0.624 0.624
Dy2 0.624 0.128 0.624
Dy3 0.624 0.624 0.128
Dy4 0.624 0.624 0.624

=====

[12]
# AcSm5Dy4 | Alexandria via LeMat-Bulk | GGA-PBE | relaxed
# Crystal system: tetragonal
# Fermi-level density of states (states/eV per cell): 21.04
# SG: P4/mmm, No. 123
# M_tot (μB/cell): 0.000
# Energy relative to the elements (eV/atom): 0.12
# Total DFT energy (no corrections) (eV per atom): -4.4949
# Density (Mg/m³): 7.9
data_AcSm5Dy4
_cell_length_a 4.209
_cell_length_b 4.209
_cell_length_c 19.241
_cell_angle_alpha 90.00
_cell_angle_beta 90.00
_cell_angle_gamma 90.00
_symmetry_space_group_name_H-M 'P 1'
_symmetry_Int_Tables_number 1
_symmetry_space_group_name_Hall 'P 1'
loop_
_atom_site_label
_atom_site_fract_x
_atom_site_fract_y
_atom_site_fract_z
Ac1 0.000 0.000 0.000
Sm1 0.500 0.500 0.119
Sm2 0.500 0.500 0.307
Sm3 0.500 0.500 0.500
Sm4 0.500 0.500 0.693
Sm5 0.500 0.500 0.881
Dy1 0.000 0.000 0.211
Dy2 0.000 0.000 0.404
Dy3 0.000 0.000 0.596
Dy4 0.000 0.000 0.789

=====

> The highest Fermi-level density of states belongs to which entry?

Ac12Sm5Dy

=====

Please write out number 6 again, unchanged.
# AcSm2Dy | Alexandria via LeMat-Bulk | GGA-PBE | relaxed
# Crystal system: tetragonal
# Fermi-level density of states (states/eV per cell): 8.38
# SG: I-4m2, No. 119
# M_tot (μB/cell): 0.000
# Energy relative to the elements (eV/atom): 0.13
# Total DFT energy (no corrections) (eV per atom): -4.4111
# Energy above the lowest structure with this stoichiometry (eV/atom): 0.0849
# Density (Mg/m³): 8.0
data_AcSm2Dy
_cell_length_a 5.789
_cell_length_b 5.789
_cell_length_c 5.789
_cell_angle_alpha 116.54
_cell_angle_beta 116.54
_cell_angle_gamma 96.10
_symmetry_space_group_name_H-M 'P 1'
_symmetry_Int_Tables_number 1
_symmetry_space_group_name_Hall 'P 1'
loop_
_atom_site_label
_atom_site_fract_x
_atom_site_fract_y
_atom_site_fract_z
Ac1 0.000 0.000 0.000
Sm1 0.500 0.500 0.000
Sm2 0.750 0.250 0.500
Dy1 0.250 0.750 0.500

=====

> What is the formula in the tenth record?

AcSm3Dy2

=====

Please write out number 9 again, unchanged.
# AcSm2Dy4 | Alexandria via LeMat-Bulk | GGA-PBE | relaxed
# Crystal system: triclinic
# Fermi-level density of states (states/eV per cell): 24.05
# SG: P1, No. 1
# M_tot (μB/cell): 0.000
# Energy relative to the elements (eV/atom): 0.04
# Total DFT energy (no corrections) (eV per atom): -4.5260
# Energy above the lowest structure with this stoichiometry (eV/atom): 0.0000
# Density (Mg/m³): 8.2
data_AcSm2Dy4
_cell_length_a 6.907
_cell_length_b 8.601
_cell_length_c 9.383
_cell_angle_alpha 65.72
_cell_angle_beta 71.68
_cell_angle_gamma 76.94
_symmetry_space_group_name_H-M 'P 1'
_symmetry_Int_Tables_number 1
_symmetry_space_group_name_Hall 'P 1'
loop_
_atom_site_label
_atom_site_fract_x
_atom_site_fract_y
_atom_site_fract_z
Ac1 0.000 0.000 0.000
Ac2 0.471 0.893 0.137
Sm1 0.134 0.557 0.299
Sm2 0.187 0.755 0.563
Sm3 0.338 0.337 0.838
Sm4 0.853 0.425 0.720
Dy1 0.038 0.187 0.275
Dy2 0.287 0.139 0.573
Dy3 0.433 0.709 0.863
Dy4 0.564 0.286 0.156
Dy5 0.617 0.466 0.416
Dy6 0.716 0.852 0.443
Dy7 0.754 0.044 0.693
Dy8 0.907 0.606 0.983